No. 1
Density functional theory data (PBE) for HfMnZn2 after structural relaxation.

Geometry as CIF:
```
data_HfMnZn2
_space_group_name_H-M_alt 'P 1'
_space_group_IT_number 1
_space_group_name_Hall 'P 1'
_cell_length_a 3.730
_cell_length_b 3.730
_cell_length_c 10.120
_cell_angle_alpha 79.38
_cell_angle_beta 79.38
_cell_angle_gamma 90.00
loop_
_atom_site_label
_atom_site_fract_x
_atom_site_fract_y
_atom_site_fract_z
_atom_site_occupancy
Zn1 0.603 0.125 0.250 1
Zn2 0.147 0.625 0.250 1
Zn3 0.375 0.397 0.750 1
Zn4 0.875 0.853 0.750 1
Mn1 0.500 0.500 0.000 1
Mn2 0.250 0.750 0.500 1
Hf1 0.000 0.000 0.000 1
Hf2 0.750 0.250 0.500 1
```

energy relative to the elements	0.332	eV/atom
space-group type	I-42d, No. 122

No. 2
Density functional theory data (PBE) for KNi2Hg after structural relaxation.

Geometry as CIF:
```
data_KNi2Hg
_space_group_name_H-M_alt 'P 1'
_space_group_IT_number 1
_space_group_name_Hall 'P 1'
_cell_length_a 5.868
_cell_length_b 5.868
_cell_length_c 5.868
_cell_angle_alpha 150.40
_cell_angle_beta 125.58
_cell_angle_gamma 63.17
loop_
_atom_site_label
_atom_site_fract_x
_atom_site_fract_y
_atom_site_fract_z
_atom_site_occupancy
Hg1 0.750 0.250 0.500 1
K1 0.250 0.750 0.500 1
Ni1 0.968 0.968 0.000 1
Ni2 0.532 0.532 0.000 1
```

energy relative to the elements	0.692	eV/atom
space-group type	Immm, No. 71

No. 3
Density functional theory data (PBE) for ThNp2RhS4 after structural relaxation.

Geometry as CIF:
```
data_ThNp2RhS4
_space_group_name_H-M_alt 'P 1'
_space_group_IT_number 1
_space_group_name_Hall 'P 1'
_cell_length_a 6.615
_cell_length_b 5.875
_cell_length_c 5.875
_cell_angle_alpha 71.52
_cell_angle_beta 55.74
_cell_angle_gamma 55.74
loop_
_atom_site_label
_atom_site_fract_x
_atom_site_fract_y
_atom_site_fract_z
_atom_site_occupancy
Th1 0.000 0.000 0.000 1
Np1 0.000 0.500 0.500 1
Np2 0.500 0.500 0.500 1
Rh1 0.500 0.000 0.000 1
S1 0.096 0.415 0.000 1
S2 0.904 0.000 0.585 1
S3 0.489 0.000 0.415 1
S4 0.511 0.585 0.000 1
```

space-group type	I-42m, No. 121
uncorrected formation energy	-1.1517	eV/atom

No. 4
Density functional theory data (PBE) for SmCoAsH2 after structural relaxation.

Geometry as CIF:
```
data_SmCoAsH2
_space_group_name_H-M_alt 'P 1'
_space_group_IT_number 1
_space_group_name_Hall 'P 1'
_cell_length_a 3.829
_cell_length_b 5.498
_cell_length_c 6.121
_cell_angle_alpha 90.00
_cell_angle_beta 90.00
_cell_angle_gamma 110.38
loop_
_atom_site_label
_atom_site_fract_x
_atom_site_fract_y
_atom_site_fract_z
_atom_site_occupancy
Sm1 0.715 0.430 0.750 1
Sm2 0.285 0.570 0.250 1
Co1 0.000 0.000 0.000 1
Co2 0.000 0.000 0.500 1
As1 0.438 0.876 0.750 1
As2 0.562 0.124 0.250 1
H1 0.154 0.308 0.944 1
H2 0.846 0.692 0.056 1
H3 0.154 0.308 0.556 1
H4 0.846 0.692 0.444 1
```

VASP energy	-5.224	eV per atom
space-group type	Cmcm, No. 63

No. 5
Density functional theory data (PBE) for TlReNO2 after structural relaxation.

Geometry as CIF:
```
data_TlReNO2
_space_group_name_H-M_alt 'P 1'
_space_group_IT_number 1
_space_group_name_Hall 'P 1'
_cell_length_a 4.003
_cell_length_b 4.003
_cell_length_c 3.973
_cell_angle_alpha 90.00
_cell_angle_beta 90.00
_cell_angle_gamma 90.00
loop_
_atom_site_label
_atom_site_fract_x
_atom_site_fract_y
_atom_site_fract_z
_atom_site_occupancy
Re1 0.000 0.000 0.000 1
Tl1 0.500 0.500 0.500 1
O1 0.000 0.500 0.000 1
O2 0.500 0.000 0.000 1
N1 0.000 0.000 0.500 1
```

space-group type	P4/mmm, No. 123
uncorrected formation energy	-0.5962	eV/atom

No. 6
Density functional theory data (PBE) for Ta2HgIrC after structural relaxation.

Geometry as CIF:
```
data_Ta2HgIrC
_space_group_name_H-M_alt 'P 1'
_space_group_IT_number 1
_space_group_name_Hall 'P 1'
_cell_length_a 4.348
_cell_length_b 4.118
_cell_length_c 4.348
_cell_angle_alpha 90.00
_cell_angle_beta 90.00
_cell_angle_gamma 90.00
loop_
_atom_site_label
_atom_site_fract_x
_atom_site_fract_y
_atom_site_fract_z
_atom_site_occupancy
C1 0.000 0.000 0.000 1
Ir1 0.000 0.500 0.000 1
Hg1 0.500 0.500 0.500 1
Ta1 0.000 0.000 0.500 1
Ta2 0.500 0.000 0.000 1
```

energy relative to the elements	0.113	eV/atom
space-group type	P4/mmm, No. 123

No. 7
Density functional theory data (PBE) for CaDyY6 after structural relaxation.

Geometry as CIF:
```
data_CaDyY6
_space_group_name_H-M_alt 'P 1'
_space_group_IT_number 1
_space_group_name_Hall 'P 1'
_cell_length_a 7.237
_cell_length_b 6.663
_cell_length_c 6.749
_cell_angle_alpha 85.61
_cell_angle_beta 57.58
_cell_angle_gamma 81.77
loop_
_atom_site_label
_atom_site_fract_x
_atom_site_fract_y
_atom_site_fract_z
_atom_site_occupancy
Ca1 0.000 0.000 0.000 1
Dy1 0.000 0.500 0.000 1
Y1 0.082 0.727 0.446 1
Y2 0.528 0.727 0.554 1
Y3 0.472 0.273 0.446 1
Y4 0.918 0.273 0.554 1
Y5 0.588 0.738 0.000 1
Y6 0.412 0.262 0.000 1
```

energy relative to the elements	0.223	eV/atom
space-group type	C2/m, No. 12

No. 8
Density functional theory data (PBE) for Ho5MgHg3 after structural relaxation.

Geometry as CIF:
```
data_Ho5MgHg3
_space_group_name_H-M_alt 'P 1'
_space_group_IT_number 1
_space_group_name_Hall 'P 1'
_cell_length_a 6.661
_cell_length_b 9.047
_cell_length_c 9.044
_cell_angle_alpha 120.01
_cell_angle_beta 90.00
_cell_angle_gamma 90.00
loop_
_atom_site_label
_atom_site_fract_x
_atom_site_fract_y
_atom_site_fract_z
_atom_site_occupancy
Ho1 0.000 0.667 0.333 1
Ho2 0.500 0.333 0.667 1
Ho3 0.000 0.333 0.667 1
Ho4 0.500 0.667 0.333 1
Ho5 0.750 0.688 0.688 1
Ho6 0.750 0.000 0.312 1
Ho7 0.750 0.312 0.000 1
Ho8 0.250 0.312 0.312 1
Ho9 0.250 0.000 0.688 1
Ho10 0.250 0.688 0.000 1
Mg1 0.000 0.000 0.000 1
Mg2 0.500 0.000 0.000 1
Hg1 0.750 0.354 0.354 1
Hg2 0.750 0.000 0.646 1
Hg3 0.750 0.646 0.000 1
Hg4 0.250 0.646 0.646 1
Hg5 0.250 0.000 0.354 1
Hg6 0.250 0.354 0.000 1
```

energy relative to the elements	-0.321	eV/atom
space-group type	P6_3/mcm, No. 193

No. 9
Density functional theory data (PBE) for KOsPt2 after structural relaxation.

Geometry as CIF:
```
data_KOsPt2
_space_group_name_H-M_alt 'P 1'
_space_group_IT_number 1
_space_group_name_Hall 'P 1'
_cell_length_a 2.720
_cell_length_b 5.081
_cell_length_c 5.081
_cell_angle_alpha 90.00
_cell_angle_beta 90.00
_cell_angle_gamma 90.00
loop_
_atom_site_label
_atom_site_fract_x
_atom_site_fract_y
_atom_site_fract_z
_atom_site_occupancy
K1 0.500 0.500 0.000 1
Os1 0.500 0.000 0.500 1
Pt1 0.000 0.000 0.000 1
Pt2 0.000 0.500 0.500 1
```

energy relative to the elements	0.597	eV/atom
space-group type	P4/mmm, No. 123

Copy entry 8 word for word.
Density functional theory data (PBE) for Ho5MgHg3 after structural relaxation.

Geometry as CIF:
```
data_Ho5MgHg3
_space_group_name_H-M_alt 'P 1'
_space_group_IT_number 1
_space_group_name_Hall 'P 1'
_cell_length_a 6.661
_cell_length_b 9.047
_cell_length_c 9.044
_cell_angle_alpha 120.01
_cell_angle_beta 90.00
_cell_angle_gamma 90.00
loop_
_atom_site_label
_atom_site_fract_x
_atom_site_fract_y
_atom_site_fract_z
_atom_site_occupancy
Ho1 0.000 0.667 0.333 1
Ho2 0.500 0.333 0.667 1
Ho3 0.000 0.333 0.667 1
Ho4 0.500 0.667 0.333 1
Ho5 0.750 0.688 0.688 1
Ho6 0.750 0.000 0.312 1
Ho7 0.750 0.312 0.000 1
Ho8 0.250 0.312 0.312 1
Ho9 0.250 0.000 0.688 1
Ho10 0.250 0.688 0.000 1
Mg1 0.000 0.000 0.000 1
Mg2 0.500 0.000 0.000 1
Hg1 0.750 0.354 0.354 1
Hg2 0.750 0.000 0.646 1
Hg3 0.750 0.646 0.000 1
Hg4 0.250 0.646 0.646 1
Hg5 0.250 0.000 0.354 1
Hg6 0.250 0.354 0.000 1
```

energy relative to the elements	-0.321	eV/atom
space-group type	P6_3/mcm, No. 193

Question: Which formula does entry 6 have?
Answer: Ta2HgIrC